{
  "formula": "SrTl3V2F9",
  "functional": "PBE with a Hubbard U",
  "state": "relaxed",
  "vol_a3_per_atom": 17.5,
  "e_tot_ev_per_cell": -78.92,
  "lattice_angstrom": [[6.2132, 0.0000, 0.0000], [-3.1066, 5.3808, 0.0000], [0.0000, 0.0000, 7.8494]],
  "species": ["Sr", "Tl", "Tl", "Tl", "V", "V", "F", "F", "F", "F", "F", "F", "F", "F", "F"],
  "fractional_positions": [[0.0000, 0.0000, 0.0000], [0.0000, 0.0000, 0.5000], [0.3333, 0.6667, 0.2074], [0.6667, 0.3333, 0.7926], [0.3333, 0.6667, 0.6556], [0.6667, 0.3333, 0.3444], [0.0000, 0.5000, 0.5000], [0.1733, 0.3465, 0.8073], [0.1733, 0.8267, 0.8073], [0.3465, 0.1733, 0.1927], [0.5000, 0.0000, 0.5000], [0.5000, 0.5000, 0.5000], [0.6535, 0.8267, 0.8073], [0.8267, 0.1733, 0.1927], [0.8267, 0.6535, 0.1927]]
}